Entry 1:
This record from Alexandria describes a relaxed La2Zn2Ir crystal. The functional is PBE-GGA.

Raw total energy (Ry per atom): -0.351
Excess energy over the best structure of this formula in the dataset (meV per atom): 0

The structure in extended XYZ format:
```
10
Lattice="5.7604 -2.0157 0.0000 5.7604 2.0157 0.0000 -5.5244 0.0000 10.6863" Properties=species:S:1:pos:R:3 pbc="T T T"
La -1.1173 0.0000 3.8676
La 1.7383 0.0000 1.2867
La 4.2581 0.0000 9.3996
La 7.1136 0.0000 6.8187
Zn 2.1053 0.0000 4.4231
Zn 5.0104 0.0000 1.2130
Zn 0.9859 0.0000 9.4733
Zn 3.8910 0.0000 6.2632
Ir -0.6880 0.0000 7.4381
Ir 6.6844 0.0000 3.2482
```

=====

Entry 2:
This record from Alexandria describes a relaxed La6Zn5Ir crystal. The functional is PBE-GGA.

Raw total energy (Ry per atom): -0.303

The structure in extended XYZ format:
```
12
Lattice="5.2815 0.0000 0.0000 0.0000 7.4706 0.0000 -2.6379 0.0000 7.9216" Properties=species:S:1:pos:R:3 pbc="T T T"
La 0.0000 1.7526 0.0000
La 0.0000 5.7180 0.0000
La 0.0109 1.8200 5.4251
La 0.0109 5.6506 5.4251
La 2.6327 1.8200 2.4965
La 2.6327 5.6506 2.4965
Zn -0.0079 3.7353 2.7410
Zn -0.0152 0.0000 2.8486
Zn 2.6407 3.7353 0.0000
Zn 2.6588 0.0000 5.0730
Zn 2.6515 3.7353 5.1806
Ir 2.6407 0.0000 0.0000
```

=====

Entry 3:
This record from Alexandria describes a relaxed La7Zn2Ir2 crystal. The functional is PBE-GGA.

Raw total energy (Ry per atom): -0.392

The structure in extended XYZ format:
```
11
Lattice="4.0907 -5.7118 0.0000 4.0907 5.7118 0.0000 0.0000 0.0000 7.2845" Properties=species:S:1:pos:R:3 pbc="T T T"
La 0.0000 0.0000 0.0000
La 2.0453 2.8559 1.9113
La 2.0453 2.8559 5.3732
La 2.0453 -2.8559 1.9113
La 2.0453 -2.8559 5.3732
La 4.0907 0.0000 1.8711
La 4.0907 0.0000 5.4134
Zn 1.2951 0.0000 3.6422
Zn 6.8862 0.0000 3.6422
Ir 4.0907 2.3626 0.0000
Ir 4.0907 -2.3626 0.0000
```

=====

What are the formation enthalpy at 0 K values for these records? In order: -0.52; -0.38; -0.36 eV per atom.